1.
KAlPb | PBE-GGA | relaxed

a b c (Å): 4.689 4.689 8.699
angles (deg): 90.00 90.00 90.00
Fractional coordinates of all 6 atoms:
Al 0.000 0.000 0.500
K 0.000 0.500 0.841
K 0.500 0.000 0.159
Pb 0.000 0.500 0.295
Pb 0.500 0.000 0.705
Al 0.500 0.500 0.500

## Properties
Space-group type = P4/nmm, No. 129
DFT formation energy = -0.22 eV per formula unit
Crystal system = tetragonal

=====

2.
ZrV2Sn2 | PBE-GGA | relaxed

a b c (Å): 7.624 7.624 3.282
angles (deg): 90.00 90.00 90.00
Fractional coordinates of all 10 atoms:
V 0.650 0.850 0.500
Sn 0.144 0.356 0.000
Zr 0.000 0.000 0.000
Sn 0.856 0.644 0.000
V 0.150 0.650 0.500
Zr 0.500 0.500 0.000
V 0.850 0.350 0.500
Sn 0.644 0.144 0.000
V 0.350 0.150 0.500
Sn 0.356 0.856 0.000

## Properties
Space-group type = P4/mbm, No. 127
DFT formation energy = 0.14 eV per formula unit
Polymorph energy (0 for the lowest one) = 0.0 meV/atom
Crystal system = tetragonal

=====

3.
Dy2MgCu2 | PBE-GGA | relaxed

a b c (Å): 3.730 7.602 7.602
angles (deg): 90.00 90.00 90.00
Fractional coordinates of all 10 atoms:
Cu 0.000 0.124 0.624
Mg 0.000 0.500 0.500
Dy 0.500 0.169 0.331
Dy 0.500 0.669 0.169
Cu 0.000 0.376 0.124
Dy 0.500 0.331 0.831
Cu 0.000 0.876 0.376
Cu 0.000 0.624 0.876
Dy 0.500 0.831 0.669
Mg 0.000 0.000 0.000

## Properties
Space-group type = P4/mbm, No. 127
DFT formation energy = -1.24 eV per formula unit
Crystal system = tetragonal

=====

| no. | total magnetic moment (μB/atom) | V (Å³ per cell) |
| --- | --- | --- |
| 1 | 0.00 | 191.27 |
| 2 | 0.00 | 190.76 |
| 3 | 0.00 | 215.57 |